SrCoF, relaxed, DFT PBE with a Hubbard U; offset from the most stable computed form = 53 meV/atom; ρ = 4.645 g/cm³; spin magnetization = 3.0 μB/cell; symmetry = No. 12
1.0
3.938 -0.096 -0.019
1.802 3.503 -0.020
-2.005 -1.190 8.490
Sr Co F
2 2 2
direct
0.634 0.131 0.532
0.444 0.941 0.953
0.862 0.359 0.247
0.216 0.714 0.238
0.327 0.824 0.645
0.751 0.248 0.840